# 1
The following is a DFT calculation (meta-GGA SCAN) of Ag2Sb at its PBEsol-relaxed geometry.

Unit cell a=3.1458 b=5.6714 c=7.0153 alpha=91.57 beta=90.00 gamma=106.10
Fractional positions:
Ag: 0.6626 0.3252 0.3311
Sb: 0.0115 0.0230 0.6007
Sb: 0.7749 0.5497 0.9731
Ag: 0.0456 0.0912 0.0266
Ag: 0.3964 0.7929 0.2773
Ag: 0.2757 0.5513 0.6246

Theoretical density in g/cm3: 9.3
E above lowest polymorph in meV/atom: 12.1
Formation energy without anion corrections in eV per atom: 0.09
VASP energy in eV per atom: -33.245
SG: Cm, No. 8


# 2
The following is a DFT calculation (meta-GGA SCAN) of SnIrS2 at its PBEsol-relaxed geometry.

Unit cell a=3.5239 b=3.5239 c=8.1702 alpha=77.55 beta=77.55 gamma=60.00
Fractional positions:
S: 0.8826 0.8826 0.3523
Ir: 0.5000 0.5000 0.5000
S: 0.1174 0.1174 0.6477
Sn: 0.0000 0.0000 0.0000

Theoretical density in g/cm3: 7.3
Formation energy without anion corrections in eV per atom: -0.35
VASP energy in eV per atom: -31.921
SG: R-3m, No. 166


# 3
The following is a DFT calculation (meta-GGA SCAN) of Rb2SmBr5 at its PBEsol-relaxed geometry.

Unit cell a=8.5566 b=9.1572 c=13.5617 alpha=90.00 beta=90.00 gamma=90.00
Fractional positions:
Sm: 0.9250 0.7500 0.4940
Rb: 0.4298 0.9929 0.3292
Br: 0.1468 0.2500 0.3002
Br: 0.8312 0.0460 0.4330
Br: 0.1688 0.5460 0.5670
Rb: 0.9298 0.0071 0.1708
Br: 0.0870 0.2500 0.0109
Rb: 0.4298 0.5071 0.3292
Br: 0.8911 0.2500 0.6820
Br: 0.6468 0.7500 0.1998
Br: 0.3532 0.2500 0.8002
Rb: 0.5702 0.0071 0.6708
Br: 0.8312 0.4540 0.4330
Br: 0.3312 0.9540 0.0670
Br: 0.6688 0.0460 0.9330
Br: 0.3312 0.5460 0.0670
Br: 0.9130 0.7500 0.9891
Br: 0.6089 0.2500 0.1820
Br: 0.1688 0.9540 0.5670
Sm: 0.4250 0.2500 0.0060
Sm: 0.5750 0.7500 0.9940
Br: 0.8532 0.7500 0.6998
Rb: 0.0702 0.9929 0.8292
Rb: 0.0702 0.5071 0.8292
Sm: 0.0750 0.2500 0.5060
Br: 0.3911 0.7500 0.8180
Br: 0.6688 0.4540 0.9330
Br: 0.5870 0.7500 0.4891
Br: 0.1089 0.7500 0.3180
Rb: 0.9298 0.4929 0.1708
Br: 0.4130 0.2500 0.5109
Rb: 0.5702 0.4929 0.6708

Theoretical density in g/cm3: 4.5
Formation energy without anion corrections in eV per atom: -2.08
VASP energy in eV per atom: -24.985
SG: Pnma, No. 62


# 4
The following is a DFT calculation (meta-GGA SCAN) of MnSbSe2Br at its PBEsol-relaxed geometry.

Unit cell a=3.9264 b=9.7467 c=12.6570 alpha=90.00 beta=90.00 gamma=90.00
Fractional positions:
Mn: 0.7500 0.4940 0.7617
Se: 0.2500 0.0558 0.8822
Sb: 0.2500 0.8081 0.9676
Se: 0.2500 0.5558 0.6178
Mn: 0.2500 0.5060 0.2383
Sb: 0.7500 0.6919 0.4676
Br: 0.7500 0.0686 0.3897
Se: 0.2500 0.2493 0.1774
Mn: 0.7500 0.9940 0.7383
Sb: 0.2500 0.3081 0.5324
Se: 0.7500 0.4442 0.3822
Se: 0.7500 0.9442 0.1178
Br: 0.2500 0.4314 0.8897
Br: 0.7500 0.5686 0.1103
Mn: 0.2500 0.0060 0.2617
Se: 0.7500 0.2507 0.6774
Se: 0.2500 0.7493 0.3226
Br: 0.2500 0.9314 0.6103
Se: 0.7500 0.7507 0.8226
Sb: 0.7500 0.1919 0.0324

Theoretical density in g/cm3: 5.7
E above lowest polymorph in meV/atom: 0.0
Formation energy without anion corrections in eV per atom: -0.68
VASP energy in eV per atom: -23.706
SG: Pnma, No. 62


# 5
The following is a DFT calculation (meta-GGA SCAN) of ZnOsRu2 at its PBEsol-relaxed geometry.

Unit cell a=4.2541 b=4.2541 c=4.2541 alpha=60.00 beta=60.00 gamma=60.00
Fractional positions:
Os: 0.5000 0.5000 0.5000
Ru: 0.0000 0.0000 0.0000
Zn: 0.7500 0.7500 0.7500
Ru: 0.2500 0.2500 0.2500

Theoretical density in g/cm3: 14.0
VASP energy in eV per atom: -38.446
SG: F-43m, No. 216
Formation energy in eV/atom: 0.32


# 6
The following is a DFT calculation (meta-GGA SCAN) of Cs3KOs at its PBEsol-relaxed geometry.

Unit cell a=6.6172 b=6.6172 c=6.6172 alpha=90.00 beta=90.00 gamma=90.00
Fractional positions:
Cs: 0.5000 0.0000 0.0000
K: 0.5000 0.5000 0.5000
Cs: 0.0000 0.5000 0.0000
Cs: 0.0000 0.0000 0.5000
Os: 0.0000 0.0000 0.0000

Theoretical density in g/cm3: 3.6
VASP energy in eV per atom: -37.723
SG: Pm-3m, No. 221
Formation energy in eV/atom: 1.00


# 7
The following is a DFT calculation (meta-GGA SCAN) of RbRh2Pb2 at its PBEsol-relaxed geometry.

Unit cell a=4.3811 b=4.3811 c=7.2608 alpha=107.56 beta=107.56 gamma=90.00
Fractional positions:
Pb: 0.6361 0.6361 0.2722
Rb: 0.0000 0.0000 0.0000
Pb: 0.3639 0.3639 0.7278
Rh: 0.7500 0.2500 0.5000
Rh: 0.2500 0.7500 0.5000

Theoretical density in g/cm3: 9.3
VASP energy in eV per atom: -48.081
SG: I4/mmm, No. 139
Formation energy in eV/atom: -0.11


# 8
The following is a DFT calculation (meta-GGA SCAN) of YSc2 at its PBEsol-relaxed geometry.

Unit cell a=5.2068 b=5.2068 c=6.5453 alpha=90.00 beta=90.00 gamma=120.00
Fractional positions:
Sc: 0.0000 0.0000 0.0000
Y: 0.3333 0.6667 0.7500
Y: 0.6667 0.3333 0.2500
Sc: 0.6667 0.3333 0.7500
Sc: 0.0000 0.0000 0.5000
Sc: 0.3333 0.6667 0.2500

Theoretical density in g/cm3: 3.9
E above lowest polymorph in meV/atom: 46.5
VASP energy in eV per atom: -18.680
SG: P6_3/mmc, No. 194
Formation energy in eV/atom: 0.09


# 9
The following is a DFT calculation (meta-GGA SCAN) of KMnW2 at its PBEsol-relaxed geometry.

Unit cell a=2.7769 b=2.7769 c=9.5490 alpha=90.00 beta=90.00 gamma=90.00
Fractional positions:
K: 0.5000 0.5000 0.0000
Mn: 0.5000 0.5000 0.5000
W: 0.0000 0.0000 0.6678
W: 0.0000 0.0000 0.3322

Theoretical density in g/cm3: 10.4
E above lowest polymorph in meV/atom: 37.2
VASP energy in eV per atom: -40.466
SG: P4/mmm, No. 123
Formation energy in eV/atom: 1.02


# 10
The following is a DFT calculation (meta-GGA SCAN) of In2AgCl at its PBEsol-relaxed geometry.

Unit cell a=5.0694 b=5.0694 c=5.0694 alpha=60.00 beta=60.00 gamma=60.00
Fractional positions:
In: 0.7500 0.7500 0.7500
Ag: 0.5000 0.5000 0.5000
Cl: 0.2500 0.2500 0.2500
In: 0.0000 0.0000 0.0000

Theoretical density in g/cm3: 6.7
E above lowest polymorph in meV/atom: 273.8
Formation energy without anion corrections in eV per atom: 0.01
VASP energy in eV per atom: -26.519
SG: F-43m, No. 216


# 11
The following is a DFT calculation (meta-GGA SCAN) of Au at its PBEsol-relaxed geometry.

Unit cell a=2.7998 b=2.8746 c=4.8329 alpha=90.00 beta=90.00 gamma=119.14
Fractional positions:
Au: 0.8357 0.6713 0.2500
Au: 0.1643 0.3287 0.7500

Theoretical density in g/cm3: 19.3
E above lowest polymorph in meV/atom: 9.7
VASP energy in eV per atom: -69.147
SG: Cmcm, No. 63
Formation energy in eV/atom: 0.01


# 12
The following is a DFT calculation (meta-GGA SCAN) of LiScAu2 at its PBEsol-relaxed geometry.

Unit cell a=4.5777 b=4.5811 c=4.5811 alpha=59.95 beta=60.02 gamma=60.02
Fractional positions:
Au: 0.7500 0.2500 0.2500
Au: 0.2500 0.7500 0.7500
Li: 0.5000 0.0000 0.0000
Sc: 0.0000 0.5000 0.5000

Theoretical density in g/cm3: 10.9
E above lowest polymorph in meV/atom: 0.0
VASP energy in eV per atom: -39.600
SG: Fm-3m, No. 225
Formation energy in eV/atom: -0.86


# 13
The following is a DFT calculation (meta-GGA SCAN) of MnP2Se at its PBEsol-relaxed geometry.

Unit cell a=2.6829 b=3.7163 c=7.2727 alpha=78.53 beta=79.37 gamma=68.84
Fractional positions:
Mn: 0.5000 0.5000 0.5000
P: 0.8465 0.9601 0.3469
P: 0.1535 0.0399 0.6531
Se: 0.0000 0.0000 0.0000

Theoretical density in g/cm3: 4.9
Formation energy without anion corrections in eV per atom: -0.05
VASP energy in eV per atom: -14.831
SG: C2/m, No. 12


# 14
The following is a DFT calculation (meta-GGA SCAN) of CoTcIr2 at its PBEsol-relaxed geometry.

Unit cell a=2.6758 b=2.6758 c=7.3278 alpha=90.00 beta=90.00 gamma=90.00
Fractional positions:
Co: 0.5000 0.5000 0.5000
Ir: 0.0000 0.0000 0.2589
Ir: 0.0000 0.0000 0.7411
Tc: 0.5000 0.5000 0.0000

Theoretical density in g/cm3: 17.1
E above lowest polymorph in meV/atom: 9.4
VASP energy in eV per atom: -48.760
SG: P4/mmm, No. 123
Formation energy in eV/atom: -0.12


# 15
The following is a DFT calculation (meta-GGA SCAN) of Hf2FeIr at its PBEsol-relaxed geometry.

Unit cell a=4.4996 b=4.4996 c=4.4996 alpha=60.00 beta=60.00 gamma=60.00
Fractional positions:
Hf: 0.2500 0.2500 0.2500
Ir: 0.0000 0.0000 0.0000
Fe: 0.5000 0.5000 0.5000
Hf: 0.7500 0.7500 0.7500

Theoretical density in g/cm3: 15.6
VASP energy in eV per atom: -54.469
SG: Fm-3m, No. 225
Formation energy in eV/atom: -0.83


# 16
The following is a DFT calculation (meta-GGA SCAN) of KNb3Ru at its PBEsol-relaxed geometry.

Unit cell a=4.8962 b=4.8962 c=4.8962 alpha=90.00 beta=90.00 gamma=90.00
Fractional positions:
Nb: 0.0000 0.0000 0.5000
K: 0.5000 0.5000 0.5000
Ru: 0.0000 0.0000 0.0000
Nb: 0.5000 0.0000 0.0000
Nb: 0.0000 0.5000 0.0000

Theoretical density in g/cm3: 5.9
E above lowest polymorph in meV/atom: 0.0
VASP energy in eV per atom: -27.349
SG: Pm-3m, No. 221
Formation energy in eV/atom: 1.16


# 17
The following is a DFT calculation (meta-GGA SCAN) of MgGa3Co at its PBEsol-relaxed geometry.

Unit cell a=4.8798 b=4.8798 c=4.8798 alpha=90.00 beta=90.00 gamma=90.00
Fractional positions:
Mg: 0.0000 0.0000 0.0000
Ga: 0.5000 0.0000 0.0000
Ga: 0.0000 0.0000 0.5000
Ga: 0.0000 0.5000 0.0000
Co: 0.5000 0.5000 0.5000

Theoretical density in g/cm3: 4.2
VASP energy in eV per atom: -13.180
SG: Pm-3m, No. 221
Formation energy in eV/atom: 1.08


# 18
The following is a DFT calculation (meta-GGA SCAN) of KZrS3 at its PBEsol-relaxed geometry.

Unit cell a=4.9361 b=4.9361 c=4.9361 alpha=90.00 beta=90.00 gamma=90.00
Fractional positions:
Zr: 0.5000 0.5000 0.5000
S: 0.0000 0.5000 0.0000
K: 0.0000 0.0000 0.0000
S: 0.0000 0.0000 0.5000
S: 0.5000 0.0000 0.0000

Theoretical density in g/cm3: 3.1
Formation energy without anion corrections in eV per atom: 0.90
VASP energy in eV per atom: -12.683
SG: Pm-3m, No. 221


# 19
The following is a DFT calculation (meta-GGA SCAN) of PbCl4 at its PBEsol-relaxed geometry.

Unit cell a=5.3873 b=6.6156 c=9.9389 alpha=76.08 beta=74.27 gamma=65.97
Fractional positions:
Cl: 0.3831 0.8135 0.4466
Cl: 0.1378 0.4249 0.3126
Pb: 0.7389 0.2500 0.7500
Pb: 0.2611 0.7500 0.2500
Cl: 0.8622 0.5751 0.6874
Cl: 0.8754 0.0751 0.1874
Cl: 0.6169 0.1865 0.5534
Cl: 0.3567 0.3135 0.9466
Cl: 0.6433 0.6865 0.0534
Cl: 0.1246 0.9249 0.8126

Theoretical density in g/cm3: 3.8
Formation energy without anion corrections in eV per atom: -0.64
VASP energy in eV per atom: -22.181
SG: C2/c, No. 15


# 20
The following is a DFT calculation (meta-GGA SCAN) of FeTc2Br at its PBEsol-relaxed geometry.

Unit cell a=2.9643 b=3.0099 c=7.2444 alpha=90.11 beta=90.00 gamma=90.00
Fractional positions:
Fe: 0.5000 0.4963 0.7866
Tc: 0.5000 0.4993 0.2001
Br: 0.0000 0.5058 0.5045
Tc: 0.0000 0.9986 0.0088

Theoretical density in g/cm3: 8.5
E above lowest polymorph in meV/atom: 0.0
Formation energy without anion corrections in eV per atom: 0.36
VASP energy in eV per atom: -26.563
SG: Pm, No. 6